! AlAg2Cl (PBE-GGA, relaxed); values from VASP
! **Fermi-level density of states**: 1.1 states/eV per cell
! **Formation energy (no corrections)**: 0.08 eV per atom
! **Magnetic moment**: 0.00 μB/atom
! **Space-group type**: I-4m2, No. 119
&SYSTEM
  ibrav = 0, nat = 4, ntyp = 3
/
ATOMIC_SPECIES
Al 26.98 Al.upf
Ag 107.87 Ag.upf
Cl 35.45 Cl.upf
ATOMIC_POSITIONS crystal
Al 0.000 0.000 0.000
Ag 0.500 0.500 0.000
Ag 0.750 0.250 0.500
Cl 0.250 0.750 0.500
CELL_PARAMETERS angstrom
-1.912 1.912 5.625
1.912 -1.912 5.625
1.912 1.912 -5.625